Entry 1:
VASP calculation (PBE) on a relaxed AcYGa2Cu2 crystal.

Lattice parameters (Å, degrees): 4.450 4.450 7.674 90.00 90.00 120.00
Fractional coordinates of all 6 atoms:
Ac  0.000  0.000  0.000
Y  0.000  0.000  0.500
Ga  0.333  0.667  0.291
Ga  0.667  0.333  0.709
Cu  0.333  0.667  0.701
Cu  0.667  0.333  0.299

Calculated values
* ΔE_f: -0.46 eV per atom
* space-group type: No. 164
* volume: 21.93 A^3/atom
* total DFT energy (no corrections): -4.592 eV/atom

=====

Entry 2:
VASP calculation (PBE) on a relaxed Ac2Zn4Ga3Cu crystal.

Lattice parameters (Å, degrees): 4.474 4.474 10.410 90.00 90.00 90.00
Fractional coordinates of all 10 atoms:
Ac  0.000  0.500  0.247
Ac  0.500  0.000  0.753
Zn  0.000  0.000  0.500
Zn  0.000  0.500  0.880
Zn  0.500  0.000  0.120
Zn  0.500  0.500  0.500
Ga  0.000  0.000  0.000
Ga  0.000  0.500  0.633
Ga  0.500  0.000  0.367
Cu  0.500  0.500  0.000

Calculated values
* ΔE_f: -0.40 eV per atom
* space-group type: No. 115
* volume: 20.83 A^3/atom
* total DFT energy (no corrections): -3.050 eV/atom

=====

Entry 3:
VASP calculation (PBE) on a relaxed AcZnGaCu3 crystal.

Lattice parameters (Å, degrees): 6.859 6.859 6.085 90.00 90.00 124.98
Fractional coordinates of all 12 atoms:
Ac  0.217  0.783  0.750
Ac  0.783  0.217  0.250
Zn  0.125  0.875  0.250
Zn  0.875  0.125  0.750
Ga  0.476  0.524  0.750
Ga  0.524  0.476  0.250
Cu  0.200  0.200  0.000
Cu  0.200  0.200  0.500
Cu  0.328  0.672  0.250
Cu  0.672  0.328  0.750
Cu  0.800  0.800  0.000
Cu  0.800  0.800  0.500

Calculated values
* ΔE_f: -0.09 eV per atom
* space-group type: No. 63
* volume: 19.55 A^3/atom
* total DFT energy (no corrections): -3.541 eV/atom

=====

Entry 4:
VASP calculation (PBE) on a relaxed AcZnGa2Cu crystal.

Lattice parameters (Å, degrees): 6.054 6.054 6.054 136.81 136.81 62.73
Fractional coordinates of all 5 atoms:
Ac  0.000  0.000  0.000
Zn  0.750  0.250  0.500
Ga  0.374  0.374  0.000
Ga  0.626  0.626  0.000
Cu  0.250  0.750  0.500

Calculated values
* ΔE_f: -0.43 eV per atom
* space-group type: No. 119
* volume: 20.53 A^3/atom
* total DFT energy (no corrections): -3.539 eV/atom

=====

Entry 5:
VASP calculation (PBE) on a relaxed Ac2Zn3Ga4Cu crystal.

Lattice parameters (Å, degrees): 4.434 4.434 10.630 90.00 90.00 90.00
Fractional coordinates of all 10 atoms:
Ac  0.000  0.500  0.245
Ac  0.500  0.000  0.755
Zn  0.000  0.000  0.000
Zn  0.000  0.500  0.635
Zn  0.500  0.000  0.365
Ga  0.000  0.000  0.500
Ga  0.000  0.500  0.878
Ga  0.500  0.000  0.122
Ga  0.500  0.500  0.500
Cu  0.500  0.500  0.000

Calculated values
* ΔE_f: -0.45 eV per atom
* space-group type: No. 115
* volume: 20.90 A^3/atom
* total DFT energy (no corrections): -3.272 eV/atom

=====

Entry 6:
VASP calculation (PBE) on a relaxed Ac2ZnGa3Cu4 crystal.

Lattice parameters (Å, degrees): 4.428 4.428 10.059 90.00 90.00 90.00
Fractional coordinates of all 10 atoms:
Ac  0.000  0.500  0.246
Ac  0.500  0.000  0.754
Zn  0.000  0.000  0.500
Ga  0.000  0.500  0.876
Ga  0.500  0.000  0.124
Ga  0.500  0.500  0.500
Cu  0.000  0.000  0.000
Cu  0.000  0.500  0.626
Cu  0.500  0.000  0.374
Cu  0.500  0.500  0.000

Calculated values
* ΔE_f: -0.36 eV per atom
* space-group type: No. 115
* volume: 19.72 A^3/atom
* total DFT energy (no corrections): -3.851 eV/atom

=====

Entry 7:
VASP calculation (PBE) on a relaxed Ac3Zn2GaCu6 crystal.

Lattice parameters (Å, degrees): 6.170 6.170 8.103 90.00 90.00 120.00
Fractional coordinates of all 12 atoms:
Ac  0.000  0.000  0.000
Ac  0.333  0.667  0.731
Ac  0.667  0.333  0.269
Zn  0.333  0.667  0.120
Zn  0.667  0.333  0.880
Ga  0.000  0.000  0.500
Cu  0.200  0.401  0.377
Cu  0.200  0.800  0.377
Cu  0.401  0.200  0.623
Cu  0.599  0.800  0.377
Cu  0.800  0.200  0.623
Cu  0.800  0.599  0.623

Calculated values
* ΔE_f: -0.10 eV per atom
* space-group type: No. 164
* volume: 22.26 A^3/atom
* total DFT energy (no corrections): -3.639 eV/atom

=====

Entry 8:
VASP calculation (PBE) on a relaxed AcZnGaCu6 crystal.

Lattice parameters (Å, degrees): 7.566 7.566 7.566 124.20 104.02 101.28
Fractional coordinates of all 18 atoms:
Ac  0.497  0.247  0.250
Ac  0.503  0.753  0.750
Zn  0.000  0.000  0.500
Zn  0.000  0.500  0.000
Ga  0.000  0.000  0.000
Ga  0.500  0.000  0.500
Cu  0.101  0.439  0.291
Cu  0.101  0.810  0.661
Cu  0.179  0.929  0.250
Cu  0.186  0.436  0.750
Cu  0.352  0.190  0.791
Cu  0.352  0.561  0.161
Cu  0.648  0.439  0.839
Cu  0.648  0.810  0.209
Cu  0.814  0.564  0.250
Cu  0.821  0.071  0.750
Cu  0.899  0.190  0.339
Cu  0.899  0.561  0.709

Calculated values
* ΔE_f: 0.16 eV per atom
* space-group type: No. 74
* volume: 17.58 A^3/atom
* total DFT energy (no corrections): -3.509 eV/atom

=====

Entry 9:
VASP calculation (PBE) on a relaxed Ac2Zn3GaCu4 crystal.

Lattice parameters (Å, degrees): 4.478 4.478 9.823 90.00 90.00 90.00
Fractional coordinates of all 10 atoms:
Ac  0.000  0.500  0.245
Ac  0.500  0.000  0.755
Zn  0.000  0.500  0.884
Zn  0.500  0.000  0.116
Zn  0.500  0.500  0.500
Ga  0.000  0.000  0.500
Cu  0.000  0.000  0.000
Cu  0.000  0.500  0.625
Cu  0.500  0.000  0.375
Cu  0.500  0.500  0.000

Calculated values
* ΔE_f: -0.25 eV per atom
* space-group type: No. 115
* volume: 19.70 A^3/atom
* total DFT energy (no corrections): -3.397 eV/atom

=====

Entry 10:
VASP calculation (PBE) on a relaxed AcZn2GaCu4 crystal.

Lattice parameters (Å, degrees): 9.346 9.346 9.346 26.08 26.08 26.08
Fractional coordinates of all 8 atoms:
Ac  0.000  0.000  0.000
Zn  0.237  0.237  0.237
Zn  0.763  0.763  0.763
Ga  0.500  0.500  0.500
Cu  0.132  0.132  0.132
Cu  0.410  0.410  0.410
Cu  0.590  0.590  0.590
Cu  0.868  0.868  0.868

Calculated values
* ΔE_f: -0.12 eV per atom
* space-group type: No. 166
* volume: 17.37 A^3/atom
* total DFT energy (no corrections): -3.380 eV/atom

=====

Entry 11:
VASP calculation (PBE) on a relaxed AcGdCu crystal.

Lattice parameters (Å, degrees): 5.117 5.117 5.117 60.00 60.00 60.00
Fractional coordinates of all 3 atoms:
Ac  0.000  0.000  0.000
Gd  0.500  0.500  0.500
Cu  0.750  0.750  0.750

Calculated values
* distance to the lowest polymorph of the same formula: 0.1688 eV per atom
* ΔE_f: 0.11 eV per atom
* space-group type: No. 216
* volume: 31.58 A^3/atom
* total DFT energy (no corrections): -7.317 eV/atom

=====

Entry 12:
VASP calculation (PBE) on a relaxed AcGdCu crystal.

Lattice parameters (Å, degrees): 6.887 6.887 6.887 148.72 148.72 44.83
Fractional coordinates of all 3 atoms:
Ac  0.000  0.000  0.000
Gd  0.277  0.277  0.000
Cu  0.661  0.661  0.000

Calculated values
* distance to the lowest polymorph of the same formula: 0.0000 eV per atom
* ΔE_f: -0.06 eV per atom
* space-group type: No. 107
* volume: 29.27 A^3/atom
* total DFT energy (no corrections): -7.485 eV/atom